(1)
Crystalline PtPbNO at its relaxed geometry. Source: OQMD via LeMat-Bulk, functional PBE-GGA.

Cell lengths 3.6817, 6.6179, 6.0573 Å; angles 90.00, 90.00, 90.00 degrees
Closest atoms and distances in Å follow each position.
Space group Pmc2_1 (No. 26)
Inequivalent atoms, fractional coordinates:
Pt: 0.0000 0.2302 0.0000 (multiplicity 2)  2 N 1.85
Pb: 0.5000 0.2541 0.4898 (multiplicity 2)  2 O 2.27
N: 0.5000 0.1984 0.0005 (multiplicity 2)  2 Pt 1.85
O: 0.0000 0.4550 0.4947 (multiplicity 2)  1 Pt 2.08, 2 Pb 2.27

Energy above the most stable polymorph in this dataset in eV per atom: 0.000
M_tot in μB/cell: 0.0
Total energy in eV/atom: -5.631
Theoretical density in kg/m³: 9728

***

(2)
Crystalline SmPbNO at its relaxed geometry. Source: OQMD via LeMat-Bulk, functional PBE-GGA.

Cell lengths 4.3506, 4.3506, 7.5145 Å; angles 90.00, 90.00, 90.00 degrees
Closest atoms and distances in Å follow each position.
Space group P4/nmm (No. 129, origin choice 2)
Inequivalent atoms, fractional coordinates:
Sm: 0.2500 0.2500 0.1125 (multiplicity 2)  4 O 2.33
Pb: 0.2500 0.7500 0.5000 (multiplicity 2)  4 N 2.52
N: 0.2500 0.2500 0.6686 (multiplicity 2)  4 Pb 2.52
O: 0.2500 0.7500 0.0000 (multiplicity 2)  4 Sm 2.33

Energy above the most stable polymorph in this dataset in eV per atom: 0.529
M_tot in μB/cell: 0.0
Total energy in eV/atom: -6.330
Theoretical density in kg/m³: 9050

***

(3)
Crystalline SmPbNO at its relaxed geometry. Source: OQMD via LeMat-Bulk, functional PBE-GGA.

Cell lengths 5.0888, 5.0888, 5.1319 Å; angles 90.00, 90.00, 90.00 degrees
Closest atoms and distances in Å follow each position.
Space group P4/nmm (No. 129, origin choice 2)
Inequivalent atoms, fractional coordinates:
Sm: 0.2500 0.7500 0.0000 (multiplicity 2)  4 N 2.54, 2 O 2.57
Pb: 0.2500 0.2500 0.4962 (multiplicity 2)  2 N 2.50-2.63, 4 O 2.54
N: 0.2500 0.2500 0.0096 (multiplicity 2)  2 Pb 2.50-2.63, 4 Sm 2.54
O: 0.2500 0.7500 0.5000 (multiplicity 2)  4 Pb 2.54, 2 Sm 2.57

Energy above the most stable polymorph in this dataset in eV per atom: 0.252
M_tot in μB/cell: 0.0
Total energy in eV/atom: -6.607
Theoretical density in kg/m³: 9686

***

(4)
Crystalline SmPbNO at its relaxed geometry. Source: OQMD via LeMat-Bulk, functional PBE-GGA.

Cell lengths 5.8634, 8.5166, 5.8016 Å; angles 90.00, 90.00, 90.00 degrees
Closest atoms and distances in Å follow each position.
Space group Pca2_1 (No. 29)
Inequivalent atoms, fractional coordinates:
Sm: 0.0045 0.1243 0.0000 (multiplicity 4)  4 O 2.30-2.34, 1 N 2.35
Pb: 0.0209 0.6283 0.0001 (multiplicity 4)  3 N 2.25-2.37
N: 0.0892 0.6162 0.5971 (multiplicity 4)  3 Pb 2.25-2.37, 1 Sm 2.35
O: 0.2469 0.9950 0.2472 (multiplicity 4)  4 Sm 2.30-2.34

Energy above the most stable polymorph in this dataset in eV per atom: 0.000
M_tot in μB/cell: 0.0
Total energy in eV/atom: -6.859
Theoretical density in kg/m³: 8886

***

(5)
Crystalline SmPbNO at its relaxed geometry. Source: OQMD via LeMat-Bulk, functional PBE-GGA.

Cell lengths 3.6782, 7.2437, 6.1978 Å; angles 90.00, 90.00, 90.00 degrees
Closest atoms and distances in Å follow each position.
Space group Pmc2_1 (No. 26)
Inequivalent atoms, fractional coordinates:
Sm: 0.0000 0.1243 0.0000 (multiplicity 2)  2 O 2.20, 2 N 2.33-2.36
Pb: 0.5000 0.3514 0.4928 (multiplicity 2)  2 N 2.34, 1 O 2.34
N: 0.0000 0.1787 0.3758 (multiplicity 2)  2 Sm 2.33-2.36, 2 Pb 2.34
O: 0.5000 0.2029 0.8286 (multiplicity 2)  2 Sm 2.20, 1 Pb 2.34

Energy above the most stable polymorph in this dataset in eV per atom: 0.166
M_tot in μB/cell: 0.0
Total energy in eV/atom: -6.694
Theoretical density in kg/m³: 7795

***

(6)
Crystalline TaPbNO at its relaxed geometry. Source: OQMD via LeMat-Bulk, functional PBE-GGA.

Cell lengths 4.2599, 4.2599, 7.9568 Å; angles 90.00, 90.00, 90.00 degrees
Closest atoms and distances in Å follow each position.
Space group P4/nmm (No. 129, origin choice 2)
Inequivalent atoms, fractional coordinates:
Ta: 0.2500 0.2500 0.0406 (multiplicity 2)  1 N 1.77
Pb: 0.2500 0.7500 0.5000 (multiplicity 2)  4 N 2.85, 4 Pb 3.01
N: 0.2500 0.2500 0.2629 (multiplicity 2)  1 Ta 1.77
O: 0.2500 0.7500 0.0000 (multiplicity 2)  4 Ta 2.15

Energy above the most stable polymorph in this dataset in eV per atom: 0.390
M_tot in μB/cell: 0.0
Total energy in eV/atom: -7.873
Theoretical density in kg/m³: 9618

***

(7)
Crystalline TaPbNO at its relaxed geometry. Source: OQMD via LeMat-Bulk, functional PBE-GGA.

Cell lengths 3.3584, 7.9589, 6.0678 Å; angles 90.00, 90.00, 90.00 degrees
Closest atoms and distances in Å follow each position.
Space group Pmc2_1 (No. 26)
Inequivalent atoms, fractional coordinates:
Ta: 0.0000 0.1437 0.0000 (multiplicity 2)  2 O 1.91-1.92, 2 N 1.93
Pb: 0.5000 0.4345 0.4890 (multiplicity 2)  1 N 2.44
N: 0.5000 0.2602 0.9608 (multiplicity 2)  2 Ta 1.93
O: 0.0000 0.0229 0.2740 (multiplicity 2)  2 Ta 1.91-1.92

Energy above the most stable polymorph in this dataset in eV per atom: 0.024
M_tot in μB/cell: 0.0
Total energy in eV/atom: -8.239
Theoretical density in kg/m³: 8562

***

(8)
Crystalline TaPbNO at its relaxed geometry. Source: OQMD via LeMat-Bulk, functional PBE-GGA.

Cell lengths 4.0279, 4.0279, 9.0972 Å; angles 90.00, 90.00, 90.00 degrees
Closest atoms and distances in Å follow each position.
Space group P4/nmm (No. 129, origin choice 2)
Inequivalent atoms, fractional coordinates:
Ta: 0.2500 0.7500 0.0000 (multiplicity 2)  4 N 2.09
Pb: 0.2500 0.2500 0.3687 (multiplicity 2)  4 O 2.34
N: 0.2500 0.2500 0.9401 (multiplicity 2)  4 Ta 2.09
O: 0.2500 0.7500 0.5000 (multiplicity 2)  4 Pb 2.34

Energy above the most stable polymorph in this dataset in eV per atom: 0.409
M_tot in μB/cell: 0.0
Total energy in eV/atom: -7.854
Theoretical density in kg/m³: 9409

***

(9)
Crystalline TaPbNO at its relaxed geometry. Source: OQMD via LeMat-Bulk, functional PBE-GGA.

Cell lengths 5.8708, 8.0751, 5.3877 Å; angles 90.00, 90.00, 90.00 degrees
Closest atoms and distances in Å follow each position.
Space group Pca2_1 (No. 29)
Inequivalent atoms, fractional coordinates:
Ta: 0.1177 0.1487 0.0000 (multiplicity 4)  1 N 1.94, 2 O 2.00-2.09
Pb: 0.0385 0.6464 0.9858 (multiplicity 4)  2 N 2.35-2.49
N: 0.0380 0.6392 0.4893 (multiplicity 4)  1 Ta 1.94
O: 0.1205 0.0010 0.6397 (multiplicity 4)  2 Ta 2.00-2.09

Energy above the most stable polymorph in this dataset in eV per atom: 0.393
M_tot in μB/cell: 0.0
Total energy in eV/atom: -7.870
Theoretical density in kg/m³: 10874

***

(10)
Crystalline TaPbNO at its relaxed geometry. Source: OQMD via LeMat-Bulk, functional PBE-GGA.

Cell lengths 3.6245, 7.3277, 6.0434 Å; angles 90.00, 90.00, 90.00 degrees
Closest atoms and distances in Å follow each position.
Space group Pmc2_1 (No. 26)
Inequivalent atoms, fractional coordinates:
Ta: 0.0000 0.1486 0.0000 (multiplicity 2)  2 N 1.88-1.89, 2 O 1.95
Pb: 0.5000 0.4167 0.4697 (multiplicity 2)  1 O 2.50
N: 0.0000 0.0343 0.2789 (multiplicity 2)  2 Ta 1.88-1.89
O: 0.5000 0.2423 0.9648 (multiplicity 2)  2 Ta 1.95

Energy above the most stable polymorph in this dataset in eV per atom: 0.046
M_tot in μB/cell: 0.0
Total energy in eV/atom: -8.217
Theoretical density in kg/m³: 8652

***

(11)
Crystalline TaPbNO at its relaxed geometry. Source: OQMD via LeMat-Bulk, functional PBE-GGA.

Cell lengths 6.3053, 8.6026, 5.7543 Å; angles 90.00, 90.00, 90.00 degrees
Closest atoms and distances in Å follow each position.
Space group Pca2_1 (No. 29)
Inequivalent atoms, fractional coordinates:
Ta: 0.1045 0.0765 0.0000 (multiplicity 4)  1 O 1.81, 3 N 2.00-2.01
Pb: 0.1174 0.5479 0.0237 (multiplicity 4)  1 O 2.47
N: 0.1106 0.0623 0.6527 (multiplicity 4)  3 Ta 2.00-2.01
O: 0.0152 0.2721 0.0635 (multiplicity 4)  1 Ta 1.81

Energy above the most stable polymorph in this dataset in eV per atom: 0.000
M_tot in μB/cell: 0.0
Total energy in eV/atom: -8.263
Theoretical density in kg/m³: 8898

***

(12)
Crystalline TbPbNO at its relaxed geometry. Source: OQMD via LeMat-Bulk, functional PBE-GGA.

Cell lengths 3.8666, 6.2720, 6.4502 Å; angles 90.00, 90.00, 90.00 degrees
Closest atoms and distances in Å follow each position.
Space group Pmc2_1 (No. 26)
Inequivalent atoms, fractional coordinates:
Tb: 0.0000 0.1874 0.0000 (multiplicity 2)  2 O 2.15-2.18, 2 N 2.29
Pb: 0.5000 0.2988 0.4705 (multiplicity 2)  1 N 2.22
N: 0.5000 0.3645 0.0779 (multiplicity 2)  1 Pb 2.22, 2 Tb 2.29
O: 0.0000 0.1091 0.6751 (multiplicity 2)  2 Tb 2.15-2.18

Energy above the most stable polymorph in this dataset in eV per atom: 0.235
M_tot in μB/cell: 0.0
Total energy in eV/atom: -6.661
Theoretical density in kg/m³: 8410